Computed, not measured: Sc2CoIr after structural relaxation at the PBE level of DFT.

```
16
Lattice="6.3631 0.0000 0.0000 0.0000 6.3572 0.0000 0.0000 0.0000 6.3719" Properties=species:S:1:pos:R:3 pbc="T T T"
Co 0.0000 1.5893 0.0000
Co 0.0000 4.7679 0.0000
Co 3.1815 1.5893 3.1858
Co 3.1816 4.7679 3.1861
Ir 3.1816 1.5893 0.0000
Ir 3.1816 4.7679 0.0000
Ir 0.0000 1.5893 3.1859
Ir 0.0000 4.7679 3.1860
Sc 1.5868 3.1785 1.5896
Sc 1.5868 0.0000 1.5896
Sc 4.7685 3.1787 1.5963
Sc 4.7685 0.0000 1.5963
Sc 1.5947 3.1785 4.7756
Sc 1.5947 0.0000 4.7756
Sc 4.7763 3.1786 4.7823
Sc 4.7763 0.0000 4.7823
```

## Properties
Space group: P4/mbm, No. 127
Relative energy among the computed polymorphs in eV per formula unit: 0.067
Volume in A^3/atom: 16.110
VASP energy in eV per cell: -125.79
ΔE_f in meV/atom: -707